Record 1
Computed, not measured: a relaxed PmTm3 crystal at the GGA-PBE level of DFT.

abc: 6.101 6.101 6.101
angles: 131.65 131.65 70.78
Atoms (fractional coordinates):
1 Tm 0.750 0.250 0.500
2 Tm 0.250 0.750 0.500
3 Tm 0.500 0.500 0.000
4 Pm 0.000 0.000 0.000

- energy relative to the elements (eV/atom) = 0.03
- E (eV for the cell shown) = -18.1
- crystal system = tetragonal



Record 2
Computed, not measured: a relaxed Rb3O2 crystal at the GGA-PBE level of DFT.

abc: 4.232 4.841 7.433
angles: 83.84 90.00 115.92
Last column: magnetic moment on the atom in μB.
Atoms (fractional coordinates):
1 Rb 0.668 0.336 0.340  0.01
2 Rb 0.332 0.664 0.660  0.01
3 Rb 0.000 0.000 0.000  0.01
4 O 0.364 0.728 0.248  0.39
5 O 0.636 0.272 0.752  0.39

- ΔE_f (raw) (eV per formula unit) = -4.204
- E (eV for the cell shown) = -17.0
- crystal system = monoclinic